# Sc3BMo

Sc3BMo after structural relaxation (GGA-PBE, the Alexandria database).

```
data_Sc3BMo
_cell_length_a 4.9353
_cell_length_b 4.9353
_cell_length_c 4.9353
_cell_angle_alpha 90.00
_cell_angle_beta 90.00
_cell_angle_gamma 90.00
_space_group_name_H-M_alt 'P m -3 m'
_space_group_IT_number 221
_space_group_name_Hall '-P 4 2 3'
loop_
_atom_site_label
_atom_site_type_symbol
_atom_site_fract_x
_atom_site_fract_y
_atom_site_fract_z
Sc1 Sc 0.0000 0.0000 0.5000
B1 B 0.5000 0.5000 0.5000
Mo1 Mo 0.0000 0.0000 0.0000
```

Summary:
- magnetization (μB/atom) = 0.00
- mass density (Mg/m³) = 3.3
- final energy (eV/f.u.) = -30.22
- E above lowest polymorph (eV/atom) = 0.932
- crystal system = cubic
- DFT formation energy (eV/atom) = 1.2558